TlNiF3 | PBE with a Hubbard U | relaxed

The structure in POSCAR format:
```
TlNiF3
1.0
3.1280 0.0000 0.0000
0.0000 7.7993 0.0000
0.0000 0.0000 7.4257
Tl Ni F
2 2 6
direct
0.0000 0.0000 0.0000
0.0000 0.5000 0.5000
0.5000 0.0000 0.5202
0.5000 0.5000 0.0202
0.0000 0.1609 0.5606
0.0000 0.3391 0.0606
0.0000 0.6609 0.0606
0.0000 0.8391 0.5606
0.5000 0.0000 0.2592
0.5000 0.5000 0.7592
```

Summary:
- Relative energy among the computed polymorphs: 3.00 kcal/mol of atoms
- Crystal system: orthorhombic
- SG: Amm2 (38)
- N(E_F): 0.00 states/eV per cell